<1>
Compound: Tb6Ho4Er
Source: Alexandria via LeMat-Bulk
Functional: PBE
Structure: relaxed

## Properties
calculated volume = 361.3 Å³ per cell

```
11
Lattice="-4.663 1.242 4.379 3.125 -3.685 4.372 5.092 8.050 -1.709" Properties=species:S:1:pos:R:3 pbc="T T T"
Tb 2.531 3.996 3.376
Tb 3.107 4.911 0.101
Ho -0.128 -0.212 7.881
Ho 5.684 3.457 1.964
Tb -2.331 0.621 2.189
Tb 1.562 -1.842 2.186
Ho 0.691 6.616 1.968
Tb -0.723 2.076 5.304
Ho 0.859 1.354 2.270
Tb 2.192 0.232 5.302
Er -0.769 -1.221 4.375
```



<2>
Compound: Tb6Ho4Er
Source: Alexandria via LeMat-Bulk
Functional: PBE
Structure: relaxed

## Properties
calculated volume = 692.9 Å³ per cell

```
22
Lattice="-2.677 -4.952 0.871 3.582 0.598 -4.218 19.020 -7.631 15.071" Properties=species:S:1:pos:R:3 pbc="T T T"
Tb 2.005 -4.410 -0.285
Tb 6.845 -3.657 0.244
Ho 18.417 -11.080 12.231
Ho 10.655 -7.360 9.527
Ho 10.549 -7.924 5.997
Tb 15.865 -10.095 9.988
Er 15.158 -6.470 9.798
Er 4.768 -5.515 1.925
Tb 17.920 -7.575 12.009
Tb -1.338 -2.476 0.436
Tb 13.280 -9.058 7.939
Tb 7.548 -6.634 4.106
Ho 1.508 -0.904 -0.508
Tb 6.645 -2.927 3.784
Tb 8.172 -6.291 7.971
Ho 9.376 -4.061 5.727
Ho 4.395 -2.669 -1.667
Ho 9.270 -4.625 2.197
Tb 12.378 -5.351 7.617
Tb 13.081 -8.328 11.479
Tb 4.060 -1.889 1.736
Ho 15.531 -9.316 13.390
```



Relative energies, kJ/mol of atoms: <1> 17.1; <2> 0.0.



<1>
Compound: Tb4Ho3Er8
Source: Alexandria via LeMat-Bulk
Functional: PBE
Structure: relaxed

## Properties
calculated volume = 473.5 Å³ per cell

```
15
Lattice="2.771 -3.496 5.208 5.350 -4.143 -1.113 9.978 6.289 3.427" Properties=species:S:1:pos:R:3 pbc="T T T"
Er 9.496 2.799 3.587
Er 13.467 -1.144 5.611
Er 5.915 -2.068 4.494
Tb 5.482 -5.010 2.749
Er 10.889 1.042 6.205
Ho 4.989 3.145 1.714
Tb 9.050 -0.675 3.761
Er 4.633 -0.206 1.911
Tb 12.617 3.660 4.773
Er 12.184 0.717 3.028
Ho 6.375 1.396 4.318
Ho 7.664 1.073 1.157
Er 7.211 -2.393 1.317
Tb 0.000 0.000 0.000
Er 8.604 -4.150 3.935
```



<2>
Compound: Tb4Ho3Er8
Source: Alexandria via LeMat-Bulk
Functional: PBE
Structure: relaxed

## Properties
calculated volume = 484.5 Å³ per cell

```
15
Lattice="6.653 -0.091 -0.131 -3.195 8.538 1.114 -3.195 -1.919 8.394" Properties=species:S:1:pos:R:3 pbc="T T T"
Er 1.790 1.714 2.462
Ho 0.131 3.264 4.689
Tb -1.598 -0.960 4.197
Er 0.131 5.850 2.888
Er 1.937 4.759 6.836
Er 0.131 0.678 6.489
Ho 1.729 4.224 0.492
Er -1.674 1.769 2.542
Er -3.195 4.764 3.741
Er -3.195 1.855 5.766
Tb -1.598 4.269 0.557
Tb 0.000 0.000 0.000
Tb 3.326 -0.045 -0.065
Ho 1.729 -1.005 4.132
Er -1.527 4.814 6.915
```



Relative energies, kJ/mol of atoms: <1> 0.0; <2> 25.3.



<1>
Compound: Tb5Ho6Er
Source: Alexandria via LeMat-Bulk
Functional: PBE
Structure: relaxed

## Properties
calculated volume = 377.0 Å³ per cell

```
12
Lattice="-4.213 7.919 -4.351 -4.041 -4.960 7.645 5.378 1.610 1.651" Properties=species:S:1:pos:R:3 pbc="T T T"
Ho -0.689 -1.010 3.237
Ho -2.130 1.278 5.714
Tb -4.155 3.612 -0.339
Ho 1.973 1.942 2.057
Tb -1.438 2.284 2.473
Tb -1.381 -2.022 6.483
Tb -4.099 -0.653 3.633
Ho -2.187 5.579 1.708
Tb -1.495 6.590 -1.538
Ho -4.849 2.626 2.889
Ho -0.746 3.290 -0.769
Er 0.000 0.000 0.000
```



<2>
Compound: Tb5Ho6Er
Source: Alexandria via LeMat-Bulk
Functional: PBE
Structure: relaxed

## Properties
calculated volume = 372.6 Å³ per cell

```
12
Lattice="11.618 -1.316 0.000 1.731 5.865 0.000 0.866 2.933 5.291" Properties=species:S:1:pos:R:3 pbc="T T T"
Ho 3.334 1.137 0.000
Tb 1.731 5.865 3.528
Er 0.000 0.000 0.000
Ho 5.065 7.006 3.529
Ho 4.199 4.073 1.762
Ho 9.151 0.476 1.762
Ho 10.016 3.412 0.000
Tb 7.540 5.207 1.763
Tb 6.675 2.275 0.000
Tb 6.675 2.275 3.529
Tb 0.866 2.933 1.763
Ho 10.016 3.409 3.529
```



Relative energies, kJ/mol of atoms: <1> 10.8; <2> 0.0.



<1>
Compound: TbHoEr6
Source: Alexandria via LeMat-Bulk
Functional: PBE
Structure: relaxed

## Properties
calculated volume = 248.7 Å³ per cell

```
8
Lattice="6.469 -0.838 -1.357 -3.185 5.693 -1.357 -1.724 -2.548 8.705" Properties=species:S:1:pos:R:3 pbc="T T T"
Er -1.721 2.377 4.998
Er 2.050 3.030 0.126
Tb 0.780 1.153 2.996
Ho 0.000 0.000 0.000
Er 2.847 -0.713 4.998
Er -0.489 -0.723 5.865
Er -1.286 3.020 0.993
Er 3.282 -0.070 0.993
```



<2>
Compound: TbHoEr6
Source: Alexandria via LeMat-Bulk
Functional: PBE
Structure: relaxed

## Properties
calculated volume = 249.3 Å³ per cell

```
8
Lattice="-2.455 -1.389 6.034 5.486 2.139 2.711 -2.100 5.151 3.994" Properties=species:S:1:pos:R:3 pbc="T T T"
Er -2.060 1.921 8.175
Er 1.510 3.443 7.521
Tb 2.743 1.069 1.356
Ho 0.000 0.000 0.000
Er -0.579 2.458 5.219
Er 2.991 3.980 4.565
Er 0.258 -0.092 3.406
Er 0.673 5.993 9.334
```



Relative energies, kJ/mol of atoms: <1> 0.9; <2> 0.0.